# InAg3Au4

A geometry-optimized InAg3Au4 structure (PBE, Alexandria).

Calculated values
Formation energy from the elements   -0.0824 eV per atom
Crystal system   monoclinic

Geometry as extended XYZ:
```
8
Lattice="4.253 0.000 0.000 0.000 4.048 -1.159 -2.127 -3.764 9.639" Properties=species:S:1:pos:R:3 pbc="T T T"
Au 2.127 -0.300 6.491
Au 0.000 0.584 1.989
Au 2.127 2.611 1.418
Au 0.000 -2.327 7.062
Ag 0.000 2.024 -0.580
Ag 2.127 1.162 3.977
Ag 0.000 -0.878 4.503
In 2.127 0.000 0.000
```

=====

# YTh3Sc3

A geometry-optimized YTh3Sc3 structure (PBE, Alexandria).

Calculated values
Relative energy among the computed polymorphs   0.000 eV/atom
Formation energy from the elements   0.0581 eV per atom
Crystal system   hexagonal

Geometry as extended XYZ:
```
14
Lattice="5.638 0.000 0.000 0.000 9.162 0.000 0.000 -4.581 7.935" Properties=species:S:1:pos:R:3 pbc="T T T"
Th 4.228 0.719 1.911
Th 4.228 -3.286 6.356
Th 4.228 2.566 7.602
Th 1.409 2.015 0.333
Th 1.409 3.862 6.024
Th 1.409 7.867 1.579
Y 1.409 4.581 2.645
Y 4.228 0.000 5.290
Sc 4.228 3.244 4.165
Sc 4.228 6.566 3.042
Sc 4.228 3.933 0.727
Sc 1.409 -1.985 4.892
Sc 1.409 1.337 3.769
Sc 1.409 0.648 7.208
```

=====

# BaTc2O4

A geometry-optimized BaTc2O4 structure (PBE, Alexandria).

Calculated values
Crystal system   tetragonal
E_form (uncorrected)   -1.270 eV/atom

Geometry as extended XYZ:
```
7
Lattice="4.721 -0.002 1.714 2.359 4.826 0.857 0.711 -0.001 5.393" Properties=species:S:1:pos:R:3 pbc="T T T"
Tc 5.076 2.412 4.410
Tc 2.715 2.412 3.554
O 6.342 3.929 4.605
O 3.378 2.662 5.409
O 1.449 0.895 3.359
O 4.413 2.162 2.555
Ba 2.360 -0.001 0.857
```

=====

# Tb2AsSe

A geometry-optimized Tb2AsSe structure (PBE, Alexandria).

Calculated values
Relative energy among the computed polymorphs   0.077 eV/atom
Crystal system   trigonal
E_form (uncorrected)   -1.646 eV/atom

Geometry as extended XYZ:
```
4
Lattice="-3.143 1.676 -1.921 -3.279 1.127 2.086 0.696 7.377 1.034" Properties=species:S:1:pos:R:3 pbc="T T T"
Tb -1.488 2.417 0.280
Tb 0.045 5.898 0.809
As -3.598 9.217 1.140
Se -2.852 5.115 0.603
```

=====

Mass density? In order: 13.8; 7.5; 5.6; 7.8 g cm⁻³.
Total energy? In order: -3.133; -6.759; -7.340; -5.994 eV/atom.